Below is a geometry-optimized K2RbHfF7 structure, with properties calculated at the GGA-PBE level.

Structure (CIF):
```
data_K2RbHfF7
_chemical_formula_sum 'K4 Rb2 Hf2 F14'
_cell_length_a 8.233
_cell_length_b 8.111
_cell_length_c 6.457
_cell_angle_alpha 90.00
_cell_angle_beta 122.86
_cell_angle_gamma 90.00
_symmetry_space_group_name_H-M 'C 1 m 1'
_symmetry_Int_Tables_number 8
_symmetry_space_group_name_Hall 'C -2y'
loop_
_atom_site_label
_atom_site_fract_x
_atom_site_fract_y
_atom_site_fract_z
_atom_site_occupancy
K1 0.000 0.241 0.000 1
Rb1 0.007 0.500 0.464 1
Hf1 0.053 0.000 0.535 1
F1 0.133 0.219 0.725 1
F2 0.136 0.000 0.289 1
F3 0.354 0.000 0.756 1
F4 0.357 0.334 0.279 1
F5 0.386 0.500 0.679 1
```

Values from the calculation:
E_tot in eV per formula unit: -62.6

Below is a geometry-optimized DyScSi structure, with properties calculated at the GGA-PBE level.

Structure (CIF):
```
data_DyScSi
_chemical_formula_sum 'Dy4 Sc4 Si4'
_cell_length_a 6.635
_cell_length_b 6.635
_cell_length_c 6.635
_cell_angle_alpha 90.00
_cell_angle_beta 90.00
_cell_angle_gamma 90.00
_symmetry_space_group_name_H-M 'F -4 3 m'
_symmetry_Int_Tables_number 216
_symmetry_space_group_name_Hall 'F -4 2 3'
loop_
_atom_site_label
_atom_site_fract_x
_atom_site_fract_y
_atom_site_fract_z
_atom_site_occupancy
Dy1 0.000 0.000 0.000 1
Sc1 0.000 0.000 0.500 1
Si1 0.250 0.250 0.250 1
```

Values from the calculation:
E_tot in eV per formula unit: -17.8